{"formula": "Hf4PCN2", "functional": "PBE", "state": "optimized geometry", "lattice": [[-2.916, 2.916, 3.612], [2.916, -2.916, 3.612], [2.916, 2.916, -3.612]], "species": ["Hf", "Hf", "Hf", "Hf", "P", "C", "N", "N"], "frac_coords": [[0.024, 0.615, 0.000], [0.385, 0.385, 0.410], [0.615, 0.024, 0.000], [0.976, 0.976, 0.590], [0.500, 0.500, 0.000], [0.000, 0.000, 0.000], [0.250, 0.750, 0.500], [0.750, 0.250, 0.500]], "energy_ev_per_atom": -9.881}